1.
Compound: Ta3GaPb
Source: Alexandria
Functional: PBE
Structure: relaxed

Cell lengths 4.792, 4.792, 4.792 Å; angles 90.00, 90.00, 90.00 degrees
Fractional coordinates of all 5 atoms:
Pb (0.500, 0.500, 0.500)
Ta (0.000, 0.500, 0.000)
Ta (0.000, 0.000, 0.500)
Ta (0.500, 0.000, 0.000)
Ga (0.000, 0.000, 0.000)

Calculated values
space group	Pm-3m (221)
density	12.374	Mg/m³
crystal system	cubic
total magnetic moment	0.00	μB per formula unit
energy above the lowest structure with this stoichiometry	0	meV/atom

2.
Compound: Ta2Ga2Pb
Source: Alexandria
Functional: PBE
Structure: relaxed

Cell lengths 7.423, 7.423, 3.551 Å; angles 90.00, 90.00, 90.00 degrees
Fractional coordinates of all 10 atoms:
Ta (0.872, 0.628, 0.000)
Ta (0.372, 0.872, 0.000)
Ta (0.628, 0.128, 0.000)
Ta (0.128, 0.372, 0.000)
Ga (0.166, 0.666, 0.500)
Ga (0.334, 0.166, 0.500)
Ga (0.666, 0.834, 0.500)
Ga (0.834, 0.334, 0.500)
Pb (0.500, 0.500, 0.000)
Pb (0.000, 0.000, 0.000)

Calculated values
space group	P4/mbm (127)
density	12.027	Mg/m³
crystal system	tetragonal
total magnetic moment	0.00	μB per formula unit
energy above the lowest structure with this stoichiometry	0	meV/atom

3.
Compound: Ta2GaPb
Source: Alexandria
Functional: PBE
Structure: relaxed

Cell lengths 4.049, 4.049, 10.624 Å; angles 79.02, 79.02, 90.00 degrees
Fractional coordinates of all 8 atoms:
Pb (0.750, 0.250, 0.500)
Pb (0.000, 0.000, 0.000)
Ta (0.616, 0.125, 0.250)
Ta (0.875, 0.866, 0.750)
Ta (0.134, 0.625, 0.250)
Ta (0.375, 0.384, 0.750)
Ga (0.250, 0.750, 0.500)
Ga (0.500, 0.500, 0.000)

Calculated values
space group	I-42d (122)
VASP energy	-7.017	eV per atom
density	12.651	Mg/m³
crystal system	tetragonal
total magnetic moment	0.00	μB per formula unit

4.
Compound: Ta3GaPb
Source: Alexandria
Functional: PBE
Structure: relaxed

Cell lengths 5.121, 5.121, 5.121 Å; angles 90.00, 90.00, 90.00 degrees
Fractional coordinates of all 5 atoms:
Ta (0.000, 0.000, 0.500)
Ta (0.000, 0.500, 0.000)
Ta (0.500, 0.000, 0.000)
Ga (0.500, 0.500, 0.500)
Pb (0.000, 0.000, 0.000)

Calculated values
space group	Pm-3m (221)
density	10.139	Mg/m³
crystal system	cubic
total magnetic moment	0.00	μB per formula unit
energy above the lowest structure with this stoichiometry	1186	meV/atom

5.
Compound: TbGaPb
Source: Alexandria
Functional: PBE
Structure: relaxed

Cell lengths 3.665, 3.665, 6.246 Å; angles 107.06, 107.06, 90.00 degrees
Fractional coordinates of all 3 atoms:
Pb (0.969, 0.969, 0.937)
Ga (0.613, 0.613, 0.225)
Tb (0.269, 0.269, 0.537)

Calculated values
space group	I4mm (107)
density	9.483	Mg/m³
crystal system	tetragonal
total magnetic moment	0.00	μB per formula unit
energy above the lowest structure with this stoichiometry	129	meV/atom

6.
Compound: Tb2GaPb
Source: Alexandria
Functional: PBE
Structure: relaxed

Cell lengths 4.251, 4.934, 4.934 Å; angles 90.00, 90.00, 90.00 degrees
Fractional coordinates of all 4 atoms:
Ga (0.500, 0.000, 0.000)
Tb (0.000, 0.500, 0.000)
Tb (0.000, 0.000, 0.500)
Pb (0.500, 0.500, 0.500)

Calculated values
space group	P4/mmm (123)
VASP energy	-4.472	eV per atom
density	9.545	Mg/m³
crystal system	tetragonal
total magnetic moment	0.00	μB per formula unit

7.
Compound: Tb5Ga2Pb2
Source: Alexandria
Functional: PBE
Structure: relaxed

Cell lengths 7.894, 8.048, 8.831 Å; angles 117.11, 90.00, 90.00 degrees
Fractional coordinates of all 18 atoms:
Tb (0.826, 0.547, 0.739)
Tb (0.826, 0.809, 0.261)
Tb (0.500, 0.500, 0.000)
Tb (0.174, 0.191, 0.739)
Tb (0.326, 0.953, 0.261)
Tb (0.174, 0.453, 0.261)
Tb (0.674, 0.309, 0.261)
Tb (0.326, 0.691, 0.739)
Tb (0.674, 0.047, 0.739)
Tb (0.000, 0.000, 0.000)
Ga (0.879, 0.381, 0.000)
Ga (0.379, 0.119, 0.000)
Ga (0.621, 0.881, 0.000)
Ga (0.121, 0.619, 0.000)
Pb (0.500, 0.287, 0.574)
Pb (0.500, 0.713, 0.426)
Pb (0.000, 0.787, 0.574)
Pb (0.000, 0.213, 0.426)

Calculated values
space group	Cmce (64)
VASP energy	-4.616	eV per atom
density	8.968	Mg/m³
crystal system	orthorhombic
total magnetic moment	0.00	μB per formula unit

8.
Compound: TbGaPb
Source: Alexandria
Functional: PBE
Structure: relaxed

Cell lengths 5.274, 5.274, 6.721 Å; angles 90.00, 90.00, 90.00 degrees
Fractional coordinates of all 6 atoms:
Pb (0.500, 0.500, 0.500)
Pb (0.500, 0.500, 0.000)
Tb (0.000, 0.000, 0.250)
Tb (0.000, 0.000, 0.750)
Ga (0.500, 0.000, 0.500)
Ga (0.000, 0.500, 0.000)

Calculated values
space group	P4_2/mmc (131)
density	7.744	Mg/m³
crystal system	tetragonal
total magnetic moment	0.00	μB per formula unit
energy above the lowest structure with this stoichiometry	453	meV/atom